[1]
Here is a relaxed structure of CaUTlCl6 from Alexandria. Energies are from PBE.

Cell lengths 7.2657, 7.2657, 13.6982 Å; angles 90.00, 90.00, 120.00 degrees
Space group P-31c (No. 163)
Symmetry-distinct sites (fractional):
Ca 0.3333 0.6667 0.2500 [2 per cell]
U 0.3333 0.6667 0.7500 [2 per cell]
Tl 0.0000 0.0000 0.0000 [2 per cell]
Cl 0.0005 0.3710 0.1380 [12 per cell]

Summary:
Formation energy (no corrections) = -1.784 eV per atom
M_tot = 6.00 Bohr magnetons per cell
Crystal system = trigonal

[2]
Here is a relaxed structure of CaTl2VCl6 from Alexandria. Energies are from PBE.

Cell lengths 7.217, 7.314, 12.557 Å; angles 90.00, 124.88, 90.00 degrees
Space group P2_1/c (No. 14)
Symmetry-distinct sites (fractional):
Ca 0.000 0.000 0.000 [2 per cell]
Tl 0.262 0.048 0.752 [4 per cell]
V 0.500 0.000 0.500 [2 per cell]
Cl 0.198 0.008 0.262 [4 per cell]
Cl 0.255 0.700 0.032 [4 per cell]
Cl 0.334 0.223 0.032 [4 per cell]

Summary:
Formation energy (no corrections) = -1.458 eV per atom
M_tot = 6.00 Bohr magnetons per cell
Crystal system = monoclinic

[3]
Here is a relaxed structure of CaTlVCl6 from Alexandria. Energies are from PBE.

Cell lengths 6.7818, 6.7818, 6.9217 Å; angles 90.00, 90.00, 120.00 degrees
Space group P312 (No. 149)
Symmetry-distinct sites (fractional):
Ca 0.0000 0.0000 0.0000 [1 per cell]
Tl 0.3333 0.6667 0.5000 [1 per cell]
V 0.6667 0.3333 0.0000 [1 per cell]
Cl 0.3710 0.0546 0.7963 [6 per cell]

Summary:
Formation energy (no corrections) = -1.568 eV per atom
M_tot = 2.00 Bohr magnetons per cell
Crystal system = trigonal

[4]
Here is a relaxed structure of CaYTlCl6 from Alexandria. Energies are from PBE.

Cell lengths 7.1250, 7.1250, 13.8109 Å; angles 90.00, 90.00, 120.00 degrees
Space group P-31c (No. 163)
Symmetry-distinct sites (fractional):
Ca 0.3333 0.6667 0.2500 [2 per cell]
Y 0.3333 0.6667 0.7500 [2 per cell]
Tl 0.0000 0.0000 0.0000 [2 per cell]
Cl 0.0102 0.3775 0.6405 [12 per cell]

Summary:
Formation energy (no corrections) = -2.070 eV per atom
M_tot = 0.00 Bohr magnetons per cell
Crystal system = trigonal